No. 1
HoCuSeS | PBE | optimized geometry

Electronic total energy ... -5.28 eV per atom
Energy relative to the elements, uncorrected ... -1.21 eV per atom
Density ... 6.635 g cm⁻³

Structure (CIF):
```
data_HoCuSeS
_chemical_formula_sum 'Ho2 Cu2 Se2 S2'
_space_group_name_H-M_alt 'P 1'
_space_group_IT_number 1
_cell_length_a 11.194
_cell_length_b 11.194
_cell_length_c 11.194
_cell_angle_alpha 21.83
_cell_angle_beta 21.83
_cell_angle_gamma 21.83
loop_
_space_group_symop_operation_xyz
'x,y,z'
loop_
_atom_site_label
_atom_site_type_symbol
_atom_site_fract_x
_atom_site_fract_y
_atom_site_fract_z
Ho1 Ho 0.107 0.107 0.107
Ho2 Ho 0.893 0.893 0.893
Cu1 Cu 0.306 0.306 0.306
Cu2 Cu 0.694 0.694 0.694
Se1 Se 0.382 0.382 0.382
Se2 Se 0.618 0.618 0.618
S1 S 0.198 0.198 0.198
S2 S 0.802 0.802 0.802
```

No. 2
GaPbC2 | PBE | optimized geometry

Electronic total energy ... -4.07 eV per atom
Energy relative to the lowest polymorph listed for this composition ... 1.011 eV per atom
Density ... 8.529 g cm⁻³
Fermi-level density of states ... 2.425 states/eV/f.u.
Formation enthalpy at 0 K ... 2226.6 meV/atom

Structure (CIF):
```
data_GaPbC2
_chemical_formula_sum 'Ga1 Pb1 C2'
_space_group_name_H-M_alt 'P 1'
_space_group_IT_number 1
_cell_length_a 4.360
_cell_length_b 4.360
_cell_length_c 4.360
_cell_angle_alpha 60.00
_cell_angle_beta 60.00
_cell_angle_gamma 60.00
loop_
_space_group_symop_operation_xyz
'x,y,z'
loop_
_atom_site_label
_atom_site_type_symbol
_atom_site_fract_x
_atom_site_fract_y
_atom_site_fract_z
Ga1 Ga 0.000 0.000 0.000
Pb1 Pb 0.500 0.500 0.500
C1 C 0.250 0.250 0.250
C2 C 0.750 0.750 0.750
```

No. 3
Ca2MnNi | PBE | optimized geometry

Electronic total energy ... -4.45 eV per atom
Density ... 3.571 g cm⁻³
Fermi-level density of states ... 2.969 states/eV/f.u.
Formation enthalpy at 0 K ... 284.2 meV/atom

Structure (CIF):
```
data_Ca2MnNi
_chemical_formula_sum 'Ca2 Mn1 Ni1'
_space_group_name_H-M_alt 'P 1'
_space_group_IT_number 1
_cell_length_a 3.535
_cell_length_b 3.556
_cell_length_c 7.168
_cell_angle_alpha 90.00
_cell_angle_beta 90.00
_cell_angle_gamma 90.00
loop_
_space_group_symop_operation_xyz
'x,y,z'
loop_
_atom_site_label
_atom_site_type_symbol
_atom_site_fract_x
_atom_site_fract_y
_atom_site_fract_z
Ca1 Ca 0.000 0.000 0.228
Ca2 Ca 0.000 0.000 0.772
Mn1 Mn 0.500 0.500 0.500
Ni1 Ni 0.500 0.500 0.000
```

No. 4
HoTlCd2Cl8 | PBE | optimized geometry

Electronic total energy ... -3.40 eV per atom
Energy relative to the elements, uncorrected ... -1.44 eV per atom
Density ... 3.905 g cm⁻³
Fermi-level density of states ... 0.000 states/eV/f.u.

Structure (CIF):
```
data_HoTlCd2Cl8
_chemical_formula_sum 'Ho1 Tl1 Cd2 Cl8'
_space_group_name_H-M_alt 'P 1'
_space_group_IT_number 1
_cell_length_a 6.533
_cell_length_b 6.548
_cell_length_c 9.052
_cell_angle_alpha 80.76
_cell_angle_beta 80.37
_cell_angle_gamma 80.81
loop_
_space_group_symop_operation_xyz
'x,y,z'
loop_
_atom_site_label
_atom_site_type_symbol
_atom_site_fract_x
_atom_site_fract_y
_atom_site_fract_z
Ho1 Ho 0.000 0.000 0.000
Tl1 Tl 0.000 0.000 0.500
Cd1 Cd 0.445 0.450 0.722
Cd2 Cd 0.555 0.550 0.278
Cl1 Cl 0.196 0.766 0.214
Cl2 Cl 0.249 0.818 0.782
Cl3 Cl 0.260 0.278 0.973
Cl4 Cl 0.318 0.335 0.501
Cl5 Cl 0.682 0.665 0.499
Cl6 Cl 0.740 0.722 0.027
Cl7 Cl 0.751 0.182 0.218
Cl8 Cl 0.804 0.234 0.786
```

No. 5
Re3OsC | PBE | optimized geometry

Electronic total energy ... -11.21 eV per atom
Energy relative to the lowest polymorph listed for this composition ... 0.000 eV per atom
Density ... 18.866 g cm⁻³
Fermi-level density of states ... 5.048 states/eV/f.u.
Formation enthalpy at 0 K ... 345.3 meV/atom

Structure (CIF):
```
data_Re3OsC
_chemical_formula_sum 'Re3 Os1 C1'
_space_group_name_H-M_alt 'P 1'
_space_group_IT_number 1
_cell_length_a 4.061
_cell_length_b 4.061
_cell_length_c 4.061
_cell_angle_alpha 90.00
_cell_angle_beta 90.00
_cell_angle_gamma 90.00
loop_
_space_group_symop_operation_xyz
'x,y,z'
loop_
_atom_site_label
_atom_site_type_symbol
_atom_site_fract_x
_atom_site_fract_y
_atom_site_fract_z
Re1 Re 0.000 0.000 0.500
Re2 Re 0.000 0.500 0.000
Re3 Re 0.500 0.000 0.000
Os1 Os 0.500 0.500 0.500
C1 C 0.000 0.000 0.000
```

No. 6
AcCdSnPb | PBE | optimized geometry

Electronic total energy ... -3.46 eV per atom
Energy relative to the lowest polymorph listed for this composition ... 0.129 eV per atom
Density ... 8.803 g cm⁻³
Fermi-level density of states ... 2.656 states/eV/f.u.
Formation enthalpy at 0 K ... -279.9 meV/atom

Structure (CIF):
```
data_AcCdSnPb
_chemical_formula_sum 'Ac1 Cd1 Sn1 Pb1'
_space_group_name_H-M_alt 'P 1'
_space_group_IT_number 1
_cell_length_a 5.620
_cell_length_b 5.620
_cell_length_c 5.620
_cell_angle_alpha 60.00
_cell_angle_beta 60.00
_cell_angle_gamma 60.00
loop_
_space_group_symop_operation_xyz
'x,y,z'
loop_
_atom_site_label
_atom_site_type_symbol
_atom_site_fract_x
_atom_site_fract_y
_atom_site_fract_z
Ac1 Ac 0.000 0.000 0.000
Cd1 Cd 0.750 0.750 0.750
Sn1 Sn 0.250 0.250 0.250
Pb1 Pb 0.500 0.500 0.500
```

No. 7
Y3Pu4Te8 | PBE | optimized geometry

Electronic total energy ... -8.00 eV per atom
Energy relative to the elements, uncorrected ... -1.21 eV per atom
Density ... 7.849 g cm⁻³
Fermi-level density of states ... 54.073 states/eV/f.u.

Structure (CIF):
```
data_Y3Pu4Te8
_chemical_formula_sum 'Y3 Pu4 Te8'
_space_group_name_H-M_alt 'P 1'
_space_group_IT_number 1
_cell_length_a 8.768
_cell_length_b 8.768
_cell_length_c 8.761
_cell_angle_alpha 119.77
_cell_angle_beta 119.77
_cell_angle_gamma 90.17
loop_
_space_group_symop_operation_xyz
'x,y,z'
loop_
_atom_site_label
_atom_site_type_symbol
_atom_site_fract_x
_atom_site_fract_y
_atom_site_fract_z
Y1 Y 0.000 0.000 0.000
Y2 Y 0.000 0.500 0.500
Y3 Y 0.500 0.000 0.500
Pu1 Pu 0.000 0.000 0.500
Pu2 Pu 0.000 0.500 0.000
Pu3 Pu 0.500 0.000 0.000
Pu4 Pu 0.500 0.500 0.000
Te1 Te 0.249 0.751 0.000
Te2 Te 0.254 0.254 0.011
Te3 Te 0.254 0.254 0.495
Te4 Te 0.256 0.744 0.500
Te5 Te 0.744 0.256 0.500
Te6 Te 0.746 0.746 0.505
Te7 Te 0.746 0.746 0.989
Te8 Te 0.751 0.249 0.000
```

No. 8
CaTaCo4 | PBE | optimized geometry

Electronic total energy ... -6.95 eV per atom
Density ... 9.200 g cm⁻³
Fermi-level density of states ... 7.360 states/eV/f.u.
Formation enthalpy at 0 K ... 98.3 meV/atom

Structure (CIF):
```
data_CaTaCo4
_chemical_formula_sum 'Ca1 Ta1 Co4'
_space_group_name_H-M_alt 'P 1'
_space_group_IT_number 1
_cell_length_a 4.885
_cell_length_b 4.885
_cell_length_c 4.885
_cell_angle_alpha 60.00
_cell_angle_beta 60.00
_cell_angle_gamma 60.00
loop_
_space_group_symop_operation_xyz
'x,y,z'
loop_
_atom_site_label
_atom_site_type_symbol
_atom_site_fract_x
_atom_site_fract_y
_atom_site_fract_z
Ca1 Ca 0.000 0.000 0.000
Ta1 Ta 0.250 0.250 0.250
Co1 Co 0.126 0.625 0.625
Co2 Co 0.625 0.126 0.625
Co3 Co 0.625 0.625 0.126
Co4 Co 0.625 0.625 0.625
```

No. 9
PmNdPt10 | PBE | optimized geometry

Electronic total energy ... -6.54 eV per atom
Density ... 16.499 g cm⁻³
Fermi-level density of states ... 9.070 states/eV/f.u.
Formation enthalpy at 0 K ... -716.5 meV/atom

Structure (CIF):
```
data_PmNdPt10
_chemical_formula_sum 'Pm1 Nd1 Pt10'
_space_group_name_H-M_alt 'P 1'
_space_group_IT_number 1
_cell_length_a 4.441
_cell_length_b 5.427
_cell_length_c 9.354
_cell_angle_alpha 90.00
_cell_angle_beta 90.00
_cell_angle_gamma 90.00
loop_
_space_group_symop_operation_xyz
'x,y,z'
loop_
_atom_site_label
_atom_site_type_symbol
_atom_site_fract_x
_atom_site_fract_y
_atom_site_fract_z
Pm1 Pm 0.000 0.000 0.000
Nd1 Nd 0.000 0.500 0.500
Pt1 Pt 0.000 0.000 0.332
Pt2 Pt 0.000 0.000 0.668
Pt3 Pt 0.000 0.500 0.166
Pt4 Pt 0.000 0.500 0.834
Pt5 Pt 0.500 0.000 0.500
Pt6 Pt 0.500 0.250 0.250
Pt7 Pt 0.500 0.250 0.750
Pt8 Pt 0.500 0.500 0.000
Pt9 Pt 0.500 0.750 0.250
Pt10 Pt 0.500 0.750 0.750
```

No. 10
LaCdRe2 | PBE | optimized geometry

Electronic total energy ... -6.89 eV per atom
Density ... 13.622 g cm⁻³
Fermi-level density of states ... 3.581 states/eV/f.u.
Formation enthalpy at 0 K ... 793.5 meV/atom

Structure (CIF):
```
data_LaCdRe2
_chemical_formula_sum 'La1 Cd1 Re2'
_space_group_name_H-M_alt 'P 1'
_space_group_IT_number 1
_cell_length_a 2.849
_cell_length_b 2.849
_cell_length_c 10.088
_cell_angle_alpha 90.00
_cell_angle_beta 90.00
_cell_angle_gamma 111.83
loop_
_space_group_symop_operation_xyz
'x,y,z'
loop_
_atom_site_label
_atom_site_type_symbol
_atom_site_fract_x
_atom_site_fract_y
_atom_site_fract_z
La1 La 0.000 0.000 0.000
Cd1 Cd 0.000 0.000 0.500
Re1 Re 0.500 0.500 0.262
Re2 Re 0.500 0.500 0.738
```

No. 11
La3SnPd8Pb2 | PBE | optimized geometry

Electronic total energy ... -5.46 eV per atom
Density ... 9.854 g cm⁻³
Fermi-level density of states ... 11.448 states/eV/f.u.
Formation enthalpy at 0 K ... -622.3 meV/atom

Structure (CIF):
```
data_La3SnPd8Pb2
_chemical_formula_sum 'La3 Sn1 Pd8 Pb2'
_space_group_name_H-M_alt 'P 1'
_space_group_IT_number 1
_cell_length_a 5.653
_cell_length_b 5.653
_cell_length_c 10.969
_cell_angle_alpha 90.00
_cell_angle_beta 90.00
_cell_angle_gamma 120.00
loop_
_space_group_symop_operation_xyz
'x,y,z'
loop_
_atom_site_label
_atom_site_type_symbol
_atom_site_fract_x
_atom_site_fract_y
_atom_site_fract_z
La1 La 0.000 0.000 0.000
La2 La 0.333 0.667 0.588
La3 La 0.667 0.333 0.412
Sn1 Sn 0.000 0.000 0.500
Pd1 Pd 0.165 0.331 0.297
Pd2 Pd 0.165 0.835 0.297
Pd3 Pd 0.331 0.165 0.703
Pd4 Pd 0.333 0.667 0.846
Pd5 Pd 0.667 0.333 0.154
Pd6 Pd 0.669 0.835 0.297
Pd7 Pd 0.835 0.165 0.703
Pd8 Pd 0.835 0.669 0.703
Pb1 Pb 0.333 0.667 0.097
Pb2 Pb 0.667 0.333 0.903
```

No. 12
TaAlCuAu2 | PBE | optimized geometry

Electronic total energy ... -4.41 eV per atom
Density ... 10.809 g cm⁻³
Fermi-level density of states ... 3.633 states/eV/f.u.
Formation enthalpy at 0 K ... 837.2 meV/atom

Structure (CIF):
```
data_TaAlCuAu2
_chemical_formula_sum 'Ta1 Al1 Cu1 Au2'
_space_group_name_H-M_alt 'P 1'
_space_group_IT_number 1
_cell_length_a 4.686
_cell_length_b 4.686
_cell_length_c 4.656
_cell_angle_alpha 90.00
_cell_angle_beta 90.00
_cell_angle_gamma 90.00
loop_
_space_group_symop_operation_xyz
'x,y,z'
loop_
_atom_site_label
_atom_site_type_symbol
_atom_site_fract_x
_atom_site_fract_y
_atom_site_fract_z
Ta1 Ta 0.000 0.000 0.000
Al1 Al 0.500 0.500 0.000
Cu1 Cu 0.000 0.000 0.500
Au1 Au 0.000 0.500 0.500
Au2 Au 0.500 0.000 0.500
```